First-principles (PBE-GGA) data for an optimized crystal structure of NiRuIN2, as listed in Alexandria via LeMat-Bulk.

abc: 3.640 3.640 6.709
angles: 90.00 90.00 90.00
Sites, in units of the cell vectors:
N1 0.500 0.000 0.000
Ru1 0.500 0.500 0.500
I1 0.000 0.000 0.500
N2 0.000 0.500 0.000
Ni1 0.000 0.000 0.000

ΔE_f (raw) in eV per atom: 1.6971
Space-group type: P4/mmm, No. 123
Total moment in μB per atom: 0.2267
Density in g cm⁻³: 5.880
Raw total energy in hartree per atom: -0.18207

---

First-principles (PBE-GGA) data for an optimized crystal structure of NiSIN2, as listed in Alexandria via LeMat-Bulk.

abc: 3.826 3.826 5.430
angles: 90.00 90.00 90.00
Sites, in units of the cell vectors:
N1 0.000 0.500 0.000
I1 0.500 0.500 0.500
Ni1 0.000 0.000 0.000
S1 0.000 0.000 0.500
N2 0.500 0.000 0.000

ΔE_f (raw) in eV per atom: 1.4047
Space-group type: P4/mmm, No. 123
Total moment in μB per atom: 0.7782
Density in g cm⁻³: 5.133
Raw total energy in hartree per atom: -0.15498

---

First-principles (PBE-GGA) data for an optimized crystal structure of NiS2IN, as listed in Alexandria via LeMat-Bulk.

abc: 5.152 5.152 3.893
angles: 90.00 90.00 90.00
Sites, in units of the cell vectors:
I1 0.000 0.000 0.000
N1 0.000 0.000 0.500
S1 0.500 0.000 0.000
Ni1 0.500 0.500 0.500
S2 0.000 0.500 0.000

ΔE_f (raw) in eV per atom: 1.7083
Space-group type: P4/mmm, No. 123
Total moment in μB per atom: 0.3731
Density in g cm⁻³: 4.238
Raw total energy in hartree per atom: -0.11297

---

First-principles (PBE-GGA) data for an optimized crystal structure of NiSIN2, as listed in Alexandria via LeMat-Bulk.

abc: 3.670 3.670 7.984
angles: 90.00 90.00 90.00
Sites, in units of the cell vectors:
Ni1 0.000 0.000 0.000
S1 0.500 0.500 0.500
I1 0.000 0.000 0.500
N1 0.500 0.000 0.000
N2 0.000 0.500 0.000

ΔE_f (raw) in eV per atom: 1.4131
Space-group type: P4/mmm, No. 123
Total moment in μB per atom: 0.1019
Density in g cm⁻³: 3.793
Raw total energy in hartree per atom: -0.15467

---

Q: density of number 2 (NiSIN2)?
A: 5.133 g cm⁻³

---

Q: Number 4 is which compound?
A: NiSIN2

---

Please write out number 3 again, unchanged.
First-principles (PBE-GGA) data for an optimized crystal structure of NiS2IN, as listed in Alexandria via LeMat-Bulk.

abc: 5.152 5.152 3.893
angles: 90.00 90.00 90.00
Sites, in units of the cell vectors:
I1 0.000 0.000 0.000
N1 0.000 0.000 0.500
S1 0.500 0.000 0.000
Ni1 0.500 0.500 0.500
S2 0.000 0.500 0.000

ΔE_f (raw) in eV per atom: 1.7083
Space-group type: P4/mmm, No. 123
Total moment in μB per atom: 0.3731
Density in g cm⁻³: 4.238
Raw total energy in hartree per atom: -0.11297

---

What did the first record say?
First-principles (PBE-GGA) data for an optimized crystal structure of NiRuIN2, as listed in Alexandria via LeMat-Bulk.

abc: 3.640 3.640 6.709
angles: 90.00 90.00 90.00
Sites, in units of the cell vectors:
N1 0.500 0.000 0.000
Ru1 0.500 0.500 0.500
I1 0.000 0.000 0.500
N2 0.000 0.500 0.000
Ni1 0.000 0.000 0.000

ΔE_f (raw) in eV per atom: 1.6971
Space-group type: P4/mmm, No. 123
Total moment in μB per atom: 0.2267
Density in g cm⁻³: 5.880
Raw total energy in hartree per atom: -0.18207